# 1
# Pr3DyP4, relaxed, DFT PBE
data_Pr3DyP4
_cell_length_a 8.313
_cell_length_b 11.751
_cell_length_c 4.159
_cell_angle_alpha 90.00
_cell_angle_beta 90.00
_cell_angle_gamma 90.00
_symmetry_space_group_name_H-M 'C m m m'
_symmetry_Int_Tables_number 65
_symmetry_space_group_name_Hall '-C 2 2'
loop_
_atom_site_label
_atom_site_type_symbol
_atom_site_fract_x
_atom_site_fract_y
_atom_site_fract_z
_atom_site_occupancy
Pr1 Pr 0.000 0.000 0.000 1
Pr2 Pr 0.250 0.250 0.500 1
Dy1 Dy 0.000 0.500 0.000 1
P1 P 0.000 0.254 0.000 1
P2 P 0.242 0.500 0.500 1
# calculated formation energy: -1529 meV per atom



# 2
# GaCuF5, relaxed, DFT PBE
data_GaCuF5
_cell_length_a 3.756
_cell_length_b 6.339
_cell_length_c 7.563
_cell_angle_alpha 90.00
_cell_angle_beta 90.00
_cell_angle_gamma 90.00
_symmetry_space_group_name_H-M 'I m m m'
_symmetry_Int_Tables_number 71
_symmetry_space_group_name_Hall '-I 2 2'
loop_
_atom_site_label
_atom_site_type_symbol
_atom_site_fract_x
_atom_site_fract_y
_atom_site_fract_z
_atom_site_occupancy
Ga1 Ga 0.000 0.000 0.000 1
Cu1 Cu 0.000 0.000 0.500 1
F1 F 0.000 0.000 0.254 1
F2 F 0.000 0.300 0.000 1
F3 F 0.000 0.500 0.500 1
# uncorrected formation energy: -14.57 eV per formula unit



# 3
# CaSmIn, relaxed, DFT PBE
data_CaSmIn
_cell_length_a 3.703
_cell_length_b 3.703
_cell_length_c 13.980
_cell_angle_alpha 90.00
_cell_angle_beta 90.00
_cell_angle_gamma 90.00
_symmetry_space_group_name_H-M 'I 4 m m'
_symmetry_Int_Tables_number 107
_symmetry_space_group_name_Hall 'I 4 -2'
loop_
_atom_site_label
_atom_site_type_symbol
_atom_site_fract_x
_atom_site_fract_y
_atom_site_fract_z
_atom_site_occupancy
Ca1 Ca 0.000 0.000 0.000 1
Sm1 Sm 0.000 0.000 0.289 1
In1 In 0.000 0.000 0.649 1
# calculated formation energy: -283 meV per atom



# 4
# Ba4TePbBr2, relaxed, DFT PBE
data_Ba4TePbBr2
_cell_length_a 8.479
_cell_length_b 5.021
_cell_length_c 8.766
_cell_angle_alpha 90.00
_cell_angle_beta 110.15
_cell_angle_gamma 90.00
_symmetry_space_group_name_H-M 'P 1 2/m 1'
_symmetry_Int_Tables_number 10
_symmetry_space_group_name_Hall '-P 2y'
loop_
_atom_site_label
_atom_site_type_symbol
_atom_site_fract_x
_atom_site_fract_y
_atom_site_fract_z
_atom_site_occupancy
Ba1 Ba 0.235 0.000 0.255 1
Ba2 Ba 0.238 0.500 0.741 1
Te1 Te 0.000 0.500 0.000 1
Pb1 Pb 0.000 0.000 0.500 1
Br1 Br 0.500 0.000 0.000 1
Br2 Br 0.500 0.500 0.500 1
# uncorrected formation energy: -11.50 eV per formula unit



# 5
# ZnMoIr, relaxed, DFT PBE
data_ZnMoIr
_cell_length_a 2.853
_cell_length_b 2.853
_cell_length_c 10.870
_cell_angle_alpha 90.00
_cell_angle_beta 90.00
_cell_angle_gamma 90.00
_symmetry_space_group_name_H-M 'I 4 m m'
_symmetry_Int_Tables_number 107
_symmetry_space_group_name_Hall 'I 4 -2'
loop_
_atom_site_label
_atom_site_type_symbol
_atom_site_fract_x
_atom_site_fract_y
_atom_site_fract_z
_atom_site_occupancy
Zn1 Zn 0.000 0.000 0.000 1
Mo1 Mo 0.000 0.000 0.324 1
Ir1 Ir 0.000 0.000 0.663 1
# calculated formation energy: -160 meV per atom